No. 1
! NdEuYAl (PBE, relaxed); values from VASP
! **Space group**: F-43m (216)
! **Energy relative to the elements**: -0.046 eV/atom
&SYSTEM
  ibrav = 0, nat = 4, ntyp = 4
/
ATOMIC_SPECIES
Nd 144.24 Nd.upf
Eu 151.96 Eu.upf
Y 88.91 Y.upf
Al 26.98 Al.upf
CELL_PARAMETERS angstrom
0.0000 3.8763 3.8763
3.8763 0.0000 3.8763
3.8763 3.8763 0.0000
ATOMIC_POSITIONS angstrom
Nd 0.0000 0.0000 0.0000
Eu 5.8144 5.8144 5.8144
Y 3.8763 3.8763 3.8763
Al 1.9381 1.9381 1.9381

---

No. 2
! Ac2NdPb2 (PBE, relaxed); values from VASP
! **Space group**: C2/m (12)
! **Energy relative to the elements**: -0.459 eV/atom
&SYSTEM
  ibrav = 0, nat = 10, ntyp = 3
/
ATOMIC_SPECIES
Ac 227.00 Ac.upf
Nd 144.24 Nd.upf
Pb 207.20 Pb.upf
CELL_PARAMETERS angstrom
6.8133 -2.5258 0.0000
6.8133 2.5258 0.0000
-5.4740 0.0000 10.8373
ATOMIC_POSITIONS angstrom
Ac -0.8274 0.0000 1.9641
Ac -0.7557 0.0000 6.4197
Ac 8.9083 0.0000 4.4175
Ac 8.9800 0.0000 8.8732
Nd 3.1083 0.0000 1.5200
Nd 5.0443 0.0000 9.3172
Pb -0.0393 0.0000 10.0559
Pb 3.0620 0.0000 6.6476
Pb 5.0905 0.0000 4.1896
Pb 8.1919 0.0000 0.7814

---

No. 3
! Pm2DyGa3 (PBE, relaxed); values from VASP
! **Space group**: P-3m1 (164)
! **Energy relative to the elements**: -0.571 eV/atom
&SYSTEM
  ibrav = 0, nat = 12, ntyp = 3
/
ATOMIC_SPECIES
Pm 145.00 Pm.upf
Dy 162.50 Dy.upf
Ga 69.72 Ga.upf
CELL_PARAMETERS angstrom
5.1349 0.0000 0.0000
-2.5675 4.4470 0.0000
0.0000 0.0000 12.6358
ATOMIC_POSITIONS angstrom
Pm 0.0000 0.0000 0.0000
Pm 0.0000 0.0000 6.3179
Pm 0.0000 2.9647 2.1436
Pm 2.5675 1.4823 10.4923
Dy 0.0000 2.9647 8.4215
Dy 2.5675 1.4823 4.2143
Ga 0.0000 0.0000 3.1924
Ga 0.0000 0.0000 9.4434
Ga 0.0000 2.9647 5.2828
Ga 0.0000 2.9647 11.5615
Ga 2.5675 1.4823 1.0743
Ga 2.5675 1.4823 7.3530

---

No. 4
! InRe2SiTc (PBE, relaxed); values from VASP
! **Space group**: P4/mmm (123)
! **Formation energy (no corrections)**: 1.851 eV per atom
&SYSTEM
  ibrav = 0, nat = 5, ntyp = 4
/
ATOMIC_SPECIES
In 114.82 In.upf
Re 186.21 Re.upf
Si 28.09 Si.upf
Tc 98.00 Tc.upf
CELL_PARAMETERS angstrom
4.7032 0.0000 0.0000
0.0000 4.7032 0.0000
0.0000 0.0000 5.0329
ATOMIC_POSITIONS angstrom
In 0.0000 0.0000 0.0000
Re 0.0000 2.3516 2.5164
Re 2.3516 0.0000 2.5164
Si 2.3516 2.3516 0.0000
Tc 0.0000 0.0000 2.5164

---

No. 5
! SrAc7La4 (PBE, relaxed); values from VASP
! **Space group**: P-1 (2)
! **Energy relative to the elements**: 0.037 eV/atom
&SYSTEM
  ibrav = 0, nat = 12, ntyp = 3
/
ATOMIC_SPECIES
Sr 87.62 Sr.upf
Ac 227.00 Ac.upf
La 138.91 La.upf
CELL_PARAMETERS angstrom
6.8360 0.0000 0.0000
-0.0170 7.8981 0.0000
-2.2549 -0.0602 9.5566
ATOMIC_POSITIONS angstrom
Sr 0.0000 0.0000 0.0000
Ac -0.0085 3.9491 0.0000
Ac 0.0567 7.8502 6.3027
Ac 1.1742 2.0483 3.2309
Ac 3.3819 5.8604 0.0429
Ac 1.1822 1.9776 9.5137
Ac 3.3899 5.7896 6.3257
Ac 4.5073 -0.0122 3.2539
La -0.0324 3.9020 6.4165
La 1.1519 5.8250 3.2237
La 3.4122 2.0129 6.3329
La 4.5965 3.9359 3.1401

---

No. 6
! GdLuV4 (PBE, relaxed); values from VASP
! **Space group**: F-43m (216)
! **Energy relative to the elements**: 0.341 eV/atom
&SYSTEM
  ibrav = 0, nat = 6, ntyp = 3
/
ATOMIC_SPECIES
Gd 157.25 Gd.upf
Lu 174.97 Lu.upf
V 50.94 V.upf
CELL_PARAMETERS angstrom
0.0000 3.8320 3.8320
3.8320 0.0000 3.8320
3.8320 3.8320 0.0000
ATOMIC_POSITIONS angstrom
Gd 0.0000 0.0000 0.0000
Lu 1.9160 1.9160 1.9160
V 4.7577 2.9064 2.9064
V 2.9064 4.7577 2.9064
V 2.9064 2.9064 4.7577
V 4.7577 4.7577 4.7577

---

No. 7
! LuSc3Mn (PBE, relaxed); values from VASP
! **Space group**: Pm-3m (221)
! **Energy relative to the elements**: 0.150 eV/atom
&SYSTEM
  ibrav = 0, nat = 5, ntyp = 3
/
ATOMIC_SPECIES
Lu 174.97 Lu.upf
Sc 44.96 Sc.upf
Mn 54.94 Mn.upf
CELL_PARAMETERS angstrom
4.9174 0.0000 0.0000
0.0000 4.9174 0.0000
0.0000 0.0000 4.9174
ATOMIC_POSITIONS angstrom
Lu 0.0000 0.0000 0.0000
Sc 0.0000 2.4587 2.4587
Sc 2.4587 0.0000 2.4587
Sc 2.4587 2.4587 0.0000
Mn 2.4587 2.4587 2.4587

---

No. 8
! SmLuBeNi (PBE, relaxed); values from VASP
! **Space group**: F-43m (216)
! **Energy relative to the elements**: -0.116 eV/atom
&SYSTEM
  ibrav = 0, nat = 4, ntyp = 4
/
ATOMIC_SPECIES
Sm 150.36 Sm.upf
Lu 174.97 Lu.upf
Be 9.01 Be.upf
Ni 58.69 Ni.upf
CELL_PARAMETERS angstrom
0.0000 3.3946 3.3946
3.3946 0.0000 3.3946
3.3946 3.3946 0.0000
ATOMIC_POSITIONS angstrom
Sm 0.0000 0.0000 0.0000
Lu 3.3946 3.3946 3.3946
Be 5.0918 5.0918 5.0918
Ni 1.6973 1.6973 1.6973

---

No. 9
! NaPuSb2O8 (PBE, relaxed); values from VASP
! **Space group**: I-4m2 (119)
! **Formation energy (no corrections)**: -1.543 eV per atom
&SYSTEM
  ibrav = 0, nat = 12, ntyp = 4
/
ATOMIC_SPECIES
Na 22.99 Na.upf
Pu 244.00 Pu.upf
Sb 121.76 Sb.upf
O 16.00 O.upf
CELL_PARAMETERS angstrom
-3.6729 3.6729 3.3569
3.6729 -3.6729 3.3569
3.6729 3.6729 -3.3569
ATOMIC_POSITIONS angstrom
Na 0.0000 0.0000 0.0000
Pu 3.6729 0.0000 1.6784
Sb 0.0000 0.0000 3.3569
Sb 0.0000 3.6729 1.6784
O 2.1627 3.6729 -1.1660
O 1.5102 0.0000 2.1909
O 0.0000 2.3277 0.3202
O 3.6729 2.1627 1.1660
O 0.0000 5.0181 0.3202
O 0.0000 1.5102 4.5228
O -1.3452 3.6729 3.0366
O 1.3452 3.6729 3.0366

---

No. 10
! Sm2HoAg (PBE, relaxed); values from VASP
! **Space group**: Cmcm (63)
! **Energy relative to the elements**: -0.049 eV/atom
&SYSTEM
  ibrav = 0, nat = 8, ntyp = 3
/
ATOMIC_SPECIES
Sm 150.36 Sm.upf
Ho 164.93 Ho.upf
Ag 107.87 Ag.upf
CELL_PARAMETERS angstrom
2.3504 -5.8483 0.0000
2.3504 5.8483 0.0000
0.0000 0.0000 8.6256
ATOMIC_POSITIONS angstrom
Sm 2.3504 4.2166 4.6806
Sm 2.3504 4.2166 8.2578
Sm 2.3504 -4.2166 0.3678
Sm 2.3504 -4.2166 3.9450
Ho 2.3504 0.5839 6.4692
Ho 2.3504 -0.5839 2.1564
Ag 2.3504 2.6207 2.1564
Ag 2.3504 -2.6207 6.4692

---

No. 11
! Be2AgBr (PBE, relaxed); values from VASP
! **Space group**: I4/mmm (139)
! **Formation energy (no corrections)**: 0.936 eV per atom
&SYSTEM
  ibrav = 0, nat = 4, ntyp = 3
/
ATOMIC_SPECIES
Be 9.01 Be.upf
Ag 107.87 Ag.upf
Br 79.90 Br.upf
CELL_PARAMETERS angstrom
-1.9683 1.9683 4.2588
1.9683 -1.9683 4.2588
1.9683 1.9683 -4.2588
ATOMIC_POSITIONS angstrom
Be 1.9683 0.0000 2.1294
Be 0.0000 1.9683 2.1294
Ag 0.0000 0.0000 0.0000
Br 0.0000 0.0000 4.2588

---

No. 12
! VZn (PBE, relaxed); values from VASP
! **Space group**: P6_3/mmc (194)
! **Energy relative to the elements**: 1.207 eV/atom
&SYSTEM
  ibrav = 0, nat = 4, ntyp = 2
/
ATOMIC_SPECIES
V 50.94 V.upf
Zn 65.41 Zn.upf
CELL_PARAMETERS angstrom
4.4192 0.0000 0.0000
-2.2096 3.8271 0.0000
0.0000 0.0000 5.1522
ATOMIC_POSITIONS angstrom
V 0.0000 2.5514 1.2880
V 2.2096 1.2757 3.8641
Zn 0.0000 2.5514 3.8641
Zn 2.2096 1.2757 1.2880

---

No. 13
! K2CrAgPb (PBE, relaxed); values from VASP
! **Space group**: P4/mmm (123)
! **Energy relative to the elements**: 0.646 eV/atom
&SYSTEM
  ibrav = 0, nat = 5, ntyp = 4
/
ATOMIC_SPECIES
K 39.10 K.upf
Cr 52.00 Cr.upf
Ag 107.87 Ag.upf
Pb 207.20 Pb.upf
CELL_PARAMETERS angstrom
6.1737 0.0000 0.0000
0.0000 6.1737 0.0000
0.0000 0.0000 5.2338
ATOMIC_POSITIONS angstrom
K 0.0000 3.0869 0.0000
K 3.0869 0.0000 0.0000
Cr 0.0000 0.0000 2.6169
Ag 0.0000 0.0000 0.0000
Pb 3.0869 3.0869 2.6169

---

No. 14
! LaSiOsRu2 (PBE, relaxed); values from VASP
! **Space group**: P4/mmm (123)
! **Formation energy (no corrections)**: 2.466 eV per atom
&SYSTEM
  ibrav = 0, nat = 5, ntyp = 4
/
ATOMIC_SPECIES
La 138.91 La.upf
Si 28.09 Si.upf
Os 190.23 Os.upf
Ru 101.07 Ru.upf
CELL_PARAMETERS angstrom
4.6441 0.0000 0.0000
0.0000 4.6441 0.0000
0.0000 0.0000 5.0727
ATOMIC_POSITIONS angstrom
La 0.0000 0.0000 0.0000
Si 0.0000 0.0000 2.5364
Os 2.3221 2.3221 2.5364
Ru 0.0000 2.3221 0.0000
Ru 2.3221 0.0000 0.0000

---

No. 15
! Te2PdBr2 (PBE, relaxed); values from VASP
! **Space group**: Ibam (72)
! **Formation energy (no corrections)**: -0.222 eV per atom
&SYSTEM
  ibrav = 0, nat = 10, ntyp = 3
/
ATOMIC_SPECIES
Te 127.60 Te.upf
Pd 106.42 Pd.upf
Br 79.90 Br.upf
CELL_PARAMETERS angstrom
-2.8858 9.3209 4.0102
2.8858 -9.3209 4.0102
2.8858 9.3209 -4.0102
ATOMIC_POSITIONS angstrom
Te 0.4723 1.6105 0.0000
Te 3.3581 7.7104 0.0000
Te -0.4723 1.6105 4.0102
Te 2.4135 7.7104 4.0102
Pd 0.0000 0.0000 2.0051
Pd 0.0000 0.0000 6.0153
Br 4.4077 3.3879 0.0000
Br 1.5218 5.9330 0.0000
Br 1.3640 3.3879 4.0102
Br -1.5218 5.9330 4.0102

---

No. 16
! CrCdPt (PBE, relaxed); values from VASP
! **Space group**: P3m1 (156)
! **Energy relative to the elements**: 0.156 eV/atom
&SYSTEM
  ibrav = 0, nat = 3, ntyp = 3
/
ATOMIC_SPECIES
Cr 52.00 Cr.upf
Cd 112.41 Cd.upf
Pt 195.08 Pt.upf
CELL_PARAMETERS angstrom
2.9308 0.0000 0.0000
-1.4654 2.5382 0.0000
0.0000 0.0000 6.7560
ATOMIC_POSITIONS angstrom
Cr 0.0000 0.0000 0.0000
Cd 1.4654 0.8461 4.3979
Pt 0.0000 1.6921 1.9615

---

No. 17
! NbAsPd3 (PBE, relaxed); values from VASP
! **Space group**: Pm-3m (221)
! **Energy relative to the elements**: 1.018 eV/atom
&SYSTEM
  ibrav = 0, nat = 5, ntyp = 3
/
ATOMIC_SPECIES
Nb 92.91 Nb.upf
As 74.92 As.upf
Pd 106.42 Pd.upf
CELL_PARAMETERS angstrom
4.8362 0.0000 0.0000
0.0000 4.8362 0.0000
0.0000 0.0000 4.8362
ATOMIC_POSITIONS angstrom
Nb 0.0000 0.0000 0.0000
As 2.4181 2.4181 2.4181
Pd 0.0000 0.0000 2.4181
Pd 0.0000 2.4181 0.0000
Pd 2.4181 0.0000 0.0000

---

No. 18
! SrLiSn2 (PBE, relaxed); values from VASP
! **Space group**: P4/mmm (123)
! **Energy relative to the elements**: -0.450 eV/atom
&SYSTEM
  ibrav = 0, nat = 4, ntyp = 3
/
ATOMIC_SPECIES
Sr 87.62 Sr.upf
Li 6.94 Li.upf
Sn 118.71 Sn.upf
CELL_PARAMETERS angstrom
3.7859 0.0000 0.0000
0.0000 3.7859 0.0000
0.0000 0.0000 7.4247
ATOMIC_POSITIONS angstrom
Sr 0.0000 0.0000 0.0000
Li 0.0000 0.0000 3.7123
Sn 1.8930 1.8930 2.2259
Sn 1.8930 1.8930 5.1988

---

No. 19
! YFe2Tc (PBE, relaxed); values from VASP
! **Space group**: P2/m (10)
! **Energy relative to the elements**: 0.290 eV/atom
&SYSTEM
  ibrav = 0, nat = 4, ntyp = 3
/
ATOMIC_SPECIES
Y 88.91 Y.upf
Fe 55.84 Fe.upf
Tc 98.00 Tc.upf
CELL_PARAMETERS angstrom
2.8726 0.0000 0.0000
0.0000 4.0332 0.0000
-1.3759 0.0000 5.6764
ATOMIC_POSITIONS angstrom
Y 0.0000 0.0000 0.0000
Fe 0.2807 2.0166 3.8919
Fe 1.2160 2.0166 1.7844
Tc -0.6879 0.0000 2.8382

---

No. 20
! Li2Mo2As (PBE, relaxed); values from VASP
! **Space group**: I4/mmm (139)
! **Energy relative to the elements**: 0.522 eV/atom
&SYSTEM
  ibrav = 0, nat = 5, ntyp = 3
/
ATOMIC_SPECIES
Li 6.94 Li.upf
Mo 95.94 Mo.upf
As 74.92 As.upf
CELL_PARAMETERS angstrom
-1.6487 1.6487 7.4308
1.6487 -1.6487 7.4308
1.6487 1.6487 -7.4308
ATOMIC_POSITIONS angstrom
Li 1.6487 0.0000 3.7154
Li 0.0000 1.6487 3.7154
Mo 0.0000 0.0000 1.2434
Mo 0.0000 0.0000 13.6181
As 0.0000 0.0000 7.4308

---

No. 21
! KNiSbPb2 (PBE, relaxed); values from VASP
! **Space group**: P4/mmm (123)
! **Formation energy (no corrections)**: 1.579 eV per atom
&SYSTEM
  ibrav = 0, nat = 5, ntyp = 4
/
ATOMIC_SPECIES
K 39.10 K.upf
Ni 58.69 Ni.upf
Sb 121.76 Sb.upf
Pb 207.20 Pb.upf
CELL_PARAMETERS angstrom
5.8724 0.0000 0.0000
0.0000 5.8724 0.0000
0.0000 0.0000 5.8349
ATOMIC_POSITIONS angstrom
K 0.0000 0.0000 0.0000
Ni 2.9362 2.9362 2.9175
Sb 0.0000 0.0000 2.9175
Pb 0.0000 2.9362 0.0000
Pb 2.9362 0.0000 0.0000

---

No. 22
! Ba2PbAu2O2 (PBE, relaxed); values from VASP
! **Space group**: I4/mmm (139)
! **Formation energy (no corrections)**: -1.189 eV per atom
&SYSTEM
  ibrav = 0, nat = 7, ntyp = 4
/
ATOMIC_SPECIES
Ba 137.33 Ba.upf
Pb 207.20 Pb.upf
Au 196.97 Au.upf
O 16.00 O.upf
CELL_PARAMETERS angstrom
-2.3483 2.3483 8.2110
2.3483 -2.3483 8.2110
2.3483 2.3483 -8.2110
ATOMIC_POSITIONS angstrom
Ba 0.0000 0.0000 1.7773
Ba 0.0000 0.0000 14.6448
Pb 0.0000 0.0000 8.2110
Au 0.0000 0.0000 5.1351
Au 0.0000 0.0000 11.2869
O 2.3483 0.0000 0.0000
O 0.0000 2.3483 0.0000

---

No. 23
! Y2HoHg4 (PBE, relaxed); values from VASP
! **Space group**: R-3m (166)
! **Energy relative to the elements**: -0.348 eV/atom
&SYSTEM
  ibrav = 0, nat = 7, ntyp = 3
/
ATOMIC_SPECIES
Y 88.91 Y.upf
Ho 164.93 Ho.upf
Hg 200.59 Hg.upf
CELL_PARAMETERS angstrom
2.5444 1.4690 8.6844
-2.5444 1.4690 8.6844
0.0000 -2.9381 8.6844
ATOMIC_POSITIONS angstrom
Y 0.0000 0.0000 6.3672
Y 0.0000 0.0000 19.6861
Ho 0.0000 0.0000 0.0000
Hg 0.0000 0.0000 3.2895
Hg 0.0000 0.0000 9.7487
Hg 0.0000 0.0000 16.3047
Hg 0.0000 0.0000 22.7638

---

No. 24
! SrPrAgHg (PBE, relaxed); values from VASP
! **Space group**: P4mm (99)
! **Energy relative to the elements**: -0.380 eV/atom
&SYSTEM
  ibrav = 0, nat = 4, ntyp = 4
/
ATOMIC_SPECIES
Sr 87.62 Sr.upf
Pr 140.91 Pr.upf
Ag 107.87 Ag.upf
Hg 200.59 Hg.upf
CELL_PARAMETERS angstrom
3.8899 0.0000 0.0000
0.0000 3.8899 0.0000
0.0000 0.0000 7.8137
ATOMIC_POSITIONS angstrom
Sr 0.0000 0.0000 0.0000
Pr 0.0000 0.0000 3.9774
Ag 1.9449 1.9449 5.7062
Hg 1.9449 1.9449 2.1315

---

No. 25
! Tb4FeSn8 (PBE, relaxed); values from VASP
! **Space group**: Pmm2 (25)
! **Energy relative to the elements**: -0.510 eV/atom
&SYSTEM
  ibrav = 0, nat = 13, ntyp = 3
/
ATOMIC_SPECIES
Tb 158.93 Tb.upf
Fe 55.84 Fe.upf
Sn 118.71 Sn.upf
CELL_PARAMETERS angstrom
4.4353 0.0000 0.0000
0.0000 4.5005 0.0000
0.0000 0.0000 16.5353
ATOMIC_POSITIONS angstrom
Tb 0.0000 0.0000 0.0000
Tb 0.0000 2.2502 8.1273
Tb 2.2176 0.0000 13.0922
Tb 2.2176 2.2502 4.9186
Fe 0.0000 2.2502 11.5899
Sn 0.0000 0.0000 5.4458
Sn 0.0000 0.0000 10.4749
Sn 0.0000 2.2502 2.4404
Sn 0.0000 2.2502 14.0728
Sn 2.2176 0.0000 2.4871
Sn 2.2176 0.0000 7.5510
Sn 2.2176 2.2502 10.4456
Sn 2.2176 2.2502 16.0728

---

No. 26
! TiTeBrN2 (PBE, relaxed); values from VASP
! **Space group**: P4/mmm (123)
! **Formation energy (no corrections)**: 0.447 eV per atom
&SYSTEM
  ibrav = 0, nat = 5, ntyp = 4
/
ATOMIC_SPECIES
Ti 47.87 Ti.upf
Te 127.60 Te.upf
Br 79.90 Br.upf
N 14.01 N.upf
CELL_PARAMETERS angstrom
3.9827 0.0000 0.0000
0.0000 3.9827 0.0000
0.0000 0.0000 5.9926
ATOMIC_POSITIONS angstrom
Ti 0.0000 0.0000 0.0000
Te 0.0000 0.0000 2.9963
Br 1.9913 1.9913 2.9963
N 0.0000 1.9913 0.0000
N 1.9913 0.0000 0.0000